Record 1
The following is a GGA-PBE calculation of a relaxed structure of MgHgCl, from the Alexandria database.

Summary:
Fermi-level density of states ... 0.449 states/eV per atom
Formation energy from raw total energies ... -738 meV/atom

```
3
Lattice="3.698 0.000 0.000 -1.849 3.203 0.000 0.000 0.000 6.750" Properties=species:S:1:pos:R:3 pbc="T T T"
Mg 0.000 0.000 0.000
Hg 0.000 2.135 4.834
Cl 1.849 1.068 1.391
```



Record 2
The following is a GGA-PBE calculation of a relaxed structure of CaGaH5, from the Alexandria database.

Summary:
Fermi-level density of states ... 0.000 states/eV per atom
E ... -3.278 eV/atom

```
14
Lattice="7.030 0.000 0.000 0.000 7.030 0.000 0.000 0.000 4.271" Properties=species:S:1:pos:R:3 pbc="T T T"
Ca 1.758 1.758 0.919
Ca 5.273 5.273 3.352
Ga 1.758 5.273 0.000
Ga 5.273 1.758 0.000
H 0.495 5.273 3.304
H 1.758 1.758 3.055
H 1.758 4.010 0.966
H 1.758 6.535 0.966
H 3.020 5.273 3.304
H 4.010 1.758 0.966
H 5.273 0.495 3.304
H 5.273 3.020 3.304
H 5.273 5.273 1.216
H 6.535 1.758 0.966
```



Record 3
The following is a GGA-PBE calculation of a relaxed structure of Ca5Zn, from the Alexandria database.

Summary:
Fermi-level density of states ... 1.331 states/eV per atom
Formation enthalpy at 0 K ... 0.02 eV per atom

```
6
Lattice="2.587 -7.629 0.000 2.587 7.629 0.000 0.000 0.000 5.403" Properties=species:S:1:pos:R:3 pbc="T T T"
Ca 0.000 0.000 0.000
Ca 2.587 5.328 2.701
Ca 2.587 2.448 0.000
Ca 2.587 -2.448 0.000
Ca 2.587 -5.328 2.701
Zn 2.587 0.000 2.701
```



Record 4
The following is a GGA-PBE calculation of a relaxed structure of La4NdTm3, from the Alexandria database.

Summary:
Fermi-level density of states ... 1.777 states/eV per atom
Formation enthalpy at 0 K ... 0.12 eV per atom

```
8
Lattice="-1.753 5.900 6.581 1.753 -5.900 6.581 1.753 5.900 -6.581" Properties=species:S:1:pos:R:3 pbc="T T T"
La 1.753 -2.954 4.823
La 0.000 2.946 1.757
La 1.753 2.954 4.823
La 0.000 8.854 1.757
Nd 0.000 0.000 0.000
Tm 1.753 0.000 3.140
Tm 0.000 0.000 6.581
Tm 0.000 5.900 3.441
```



Q: Among the records above, which one has the lowest Fermi-level density of states?
A: CaGaH5